An optimized crystal structure of Nd8DyY2. Source: Alexandria via LeMat-Bulk, functional PBE.

Cell lengths 18.598, 5.164, 8.158 Å; angles 90.00, 105.20, 90.00 degrees
Space group C2/m (No. 12)
Asymmetric unit:
Nd  0.046  0.000  0.229 (multiplicity 4)
Nd  0.091  0.500  0.953 (multiplicity 4)
Nd  0.137  0.000  0.683 (multiplicity 4)
Nd  0.182  0.500  0.410 (multiplicity 4)
Dy  0.000  0.500  0.500 (multiplicity 2)
Y  0.227  0.000  0.135 (multiplicity 4)

Summary:
DOS at the Fermi energy = 1.5376 states/eV per atom
Formation energy from the elements = 0.014 eV/atom
ΔE to the lowest computed polymorph = 0.00 eV/f.u.
DFT total energy = -111.0 eV for the cell shown
Total magnetic moment = 0.000 μB per cell